(1)
80
Lattice="-8.471 -3.457 -7.343 5.756 -9.394 4.030 -4.763 5.826 9.000" Properties=species:S:1:pos:R:3 comment="PBE Ba3Pd5O12, relaxed" final_energy_ev_per_atom=-5.444 formation_energy_uncorrected_ev_per_fu=-17.64 pbc="T T T"
Ba -4.790 -5.387 -2.871
Ba -3.691 -9.342 -2.277
Ba -1.837 -4.701 5.894
Ba -3.184 0.146 2.043
Ba -7.883 -2.742 -3.671
Ba -0.770 -5.711 2.015
Ba -6.708 -1.314 3.672
Ba 0.405 -4.283 9.358
Ba -4.294 -7.171 3.644
Ba -5.641 -2.324 -0.207
Ba -3.788 2.317 7.964
Ba -2.688 -1.638 8.558
Pd -0.091 -2.498 2.843
Pd 2.878 -4.697 2.015
Pd 0.000 0.000 0.000
Pd -2.333 -2.917 -0.621
Pd -6.617 1.185 0.829
Pd -1.358 -6.425 -1.656
Pd 1.472 -5.293 5.480
Pd -9.801 1.331 2.871
Pd -4.542 -6.279 0.387
Pd -6.029 1.899 4.500
Pd -1.449 -8.924 1.187
Pd -3.739 -3.513 2.843
Pd -4.235 -1.728 -3.671
Pd -2.381 2.913 4.500
Pd -2.936 -0.746 5.300
Pd 2.323 -8.356 2.815
Pd 0.496 -1.784 6.515
Pd -8.950 -1.732 0.207
Pd -5.145 -4.109 6.308
Pd -7.387 -4.527 2.844
O -5.270 -3.314 -4.512
O -1.726 -3.572 3.330
O -7.592 -5.288 -2.864
O -3.766 -2.914 -2.038
O -4.180 -4.535 4.591
O -5.782 -7.979 -3.272
O -0.068 -6.306 4.664
O 3.974 -8.338 3.970
O -2.574 -7.399 5.696
O -3.323 -6.811 -1.128
O -5.940 -5.101 -0.460
O -1.829 -11.279 -2.294
O 0.614 -3.851 6.596
O -1.382 -4.691 -0.524
O 2.652 -6.493 6.588
O -5.767 1.011 2.710
O -0.569 -0.837 1.808
O -0.694 -7.483 -0.003
O -3.176 -9.665 0.460
O 1.052 -3.753 1.757
O -1.509 -5.908 8.403
O -3.541 -5.319 1.849
O -5.363 -7.886 1.285
O -9.389 -0.496 3.615
O -3.937 -1.706 3.838
O -2.115 0.861 4.402
O 1.911 -6.529 2.072
O -4.302 2.640 5.227
O -5.969 -1.117 -2.716
O -8.530 -3.272 3.930
O -6.784 0.458 5.690
O -1.712 -8.036 2.977
O -6.909 -6.188 3.879
O -10.130 -0.532 -0.901
O -8.092 -3.174 -0.909
O -5.649 4.254 7.981
O -6.096 -2.334 6.211
O -4.904 0.373 -0.009
O -4.155 -0.214 6.815
O -1.538 -1.925 6.147
O -11.453 1.312 1.717
O -7.410 -0.719 1.023
O -3.712 -4.112 7.725
O -1.697 0.954 8.959
O -3.298 -2.490 1.096
O 0.114 -1.737 8.550
O -5.752 -3.453 2.357
O -2.208 -3.711 10.199

---

(2)
7
Lattice="5.287 0.000 0.000 0.000 5.287 0.000 2.644 2.644 8.399" Properties=species:S:1:pos:R:3 comment="PBE Ba4Pd2O, relaxed" final_energy_ev_per_atom=-4.241 formation_energy_uncorrected_ev_per_fu=-6.65 pbc="T T T"
O 0.000 0.000 0.000
Ba 2.644 2.644 5.401
Ba 5.287 5.287 2.998
Ba 0.000 2.644 0.000
Ba 2.644 0.000 0.000
Pd 2.644 2.644 2.204
Pd 5.287 5.287 6.195